1.
The following is a PBE with a Hubbard U calculation of crystalline CrN3O at its relaxed geometry, from Alexandria via LeMat-Bulk.

Values from the calculation:
- Total DFT energy (no corrections): -5.479 eV per atom
- ρ: 3.499 g/cm³
- Symmetry: Pm-3m (221)

a b c (Å): 3.737 3.737 3.737
angles (deg): 90.00 90.00 90.00
Each line ends with the local moment (μB).
Sites, in units of the cell vectors:
O1 0.500 0.500 0.500  1.44
N1 0.500 0.000 0.000  0.69
N2 0.000 0.500 0.000  0.82
Cr1 0.000 0.000 0.000  -1.50
N3 0.000 0.000 0.500  1.00

=====

2.
The following is a PBE with a Hubbard U calculation of crystalline CrN3O at its relaxed geometry, from Alexandria via LeMat-Bulk.

Values from the calculation:
- Total DFT energy (no corrections): -5.201 eV per atom
- ρ: 4.299 g/cm³
- Symmetry: Pm-3m (221)

a b c (Å): 3.490 3.490 3.490
angles (deg): 90.00 90.00 90.00
Each line ends with the local moment (μB).
Sites, in units of the cell vectors:
N1 0.000 0.500 0.000  0.46
N2 0.000 0.000 0.500  0.42
Cr1 0.500 0.500 0.500  -3.51
O1 0.000 0.000 0.000  -0.05
N3 0.500 0.000 0.000  0.34

=====

3.
The following is a PBE with a Hubbard U calculation of crystalline Cr2N2O at its relaxed geometry, from Alexandria via LeMat-Bulk.

Values from the calculation:
- Total DFT energy (no corrections): -7.213 eV per atom
- ρ: 5.205 g/cm³
- Symmetry: P4/mbm (127)

a b c (Å): 5.705 5.705 2.901
angles (deg): 90.00 90.00 90.00
Each line ends with the local moment (μB).
Sites, in units of the cell vectors:
Cr1 0.801 0.699 0.000  2.86
O1 0.000 0.000 0.000  -0.27
Cr2 0.199 0.301 0.000  2.86
N1 0.139 0.639 0.500  -0.59
Cr3 0.301 0.801 0.000  2.85
Cr4 0.699 0.199 0.000  2.85
N2 0.639 0.861 0.500  -0.59
O2 0.500 0.500 0.000  -0.27
N3 0.861 0.361 0.500  -0.59
N4 0.361 0.139 0.500  -0.59

=====

4.
The following is a PBE with a Hubbard U calculation of crystalline CrPNO2 at its relaxed geometry, from Alexandria via LeMat-Bulk.

Values from the calculation:
- Total DFT energy (no corrections): -6.019 eV per atom
- ρ: 3.924 g/cm³
- Symmetry: P4/mmm (123)

a b c (Å): 3.672 3.672 4.049
angles (deg): 90.00 90.00 90.00
Each line ends with the local moment (μB).
Sites, in units of the cell vectors:
N1 0.000 0.000 0.500  -0.39
O1 0.500 0.000 0.000  -0.18
Cr1 0.000 0.000 0.000  2.27
P1 0.500 0.500 0.500  0.32
O2 0.000 0.500 0.000  -0.18

=====

5.
The following is a PBE with a Hubbard U calculation of crystalline CrPN2O at its relaxed geometry, from Alexandria via LeMat-Bulk.

Values from the calculation:
- Total DFT energy (no corrections): -6.788 eV per atom
- ρ: 4.866 g/cm³
- Symmetry: P4/mmm (123)

a b c (Å): 3.578 3.578 3.386
angles (deg): 90.00 90.00 90.00
Each line ends with the local moment (μB).
Sites, in units of the cell vectors:
Cr1 0.500 0.500 0.500  3.77
N1 0.500 0.000 0.000  -0.36
O1 0.000 0.000 0.500  -0.05
P1 0.000 0.000 0.000  0.05
N2 0.000 0.500 0.000  -0.36

=====

6.
The following is a PBE with a Hubbard U calculation of crystalline CrPNO2 at its relaxed geometry, from Alexandria via LeMat-Bulk.

Values from the calculation:
- Total DFT energy (no corrections): -5.855 eV per atom
- ρ: 3.249 g/cm³
- Symmetry: P4/mmm (123)

a b c (Å): 3.501 3.501 5.380
angles (deg): 90.00 90.00 90.00
Each line ends with the local moment (μB).
Sites, in units of the cell vectors:
O1 0.000 0.500 0.000  -0.29
O2 0.500 0.000 0.000  -0.29
N1 0.500 0.500 0.500  0.79
Cr1 0.000 0.000 0.000  2.07
P1 0.000 0.000 0.500  -0.22

=====

7.
The following is a PBE with a Hubbard U calculation of crystalline CrPN2O at its relaxed geometry, from Alexandria via LeMat-Bulk.

Values from the calculation:
- Total DFT energy (no corrections): -5.841 eV per atom
- ρ: 4.033 g/cm³
- Symmetry: P4/mmm (123)

a b c (Å): 3.865 3.865 3.500
angles (deg): 90.00 90.00 90.00
Sites, in units of the cell vectors:
P1 0.500 0.500 0.500
O1 0.000 0.000 0.500
Cr1 0.000 0.000 0.000
N1 0.500 0.000 0.000
N2 0.000 0.500 0.000

=====

8.
The following is a PBE with a Hubbard U calculation of crystalline CrPNO2 at its relaxed geometry, from Alexandria via LeMat-Bulk.

Values from the calculation:
- Total DFT energy (no corrections): -6.750 eV per atom
- ρ: 4.858 g/cm³
- Symmetry: P4/mmm (123)

a b c (Å): 3.411 3.411 3.790
angles (deg): 90.00 90.00 90.00
Each line ends with the local moment (μB).
Sites, in units of the cell vectors:
Cr1 0.500 0.500 0.500  3.83
P1 0.000 0.000 0.000  0.01
O1 0.000 0.500 0.000  0.02
N1 0.000 0.000 0.500  -0.14
O2 0.500 0.000 0.000  0.02

=====

9.
The following is a PBE with a Hubbard U calculation of crystalline CrP2NO at its relaxed geometry, from Alexandria via LeMat-Bulk.

Values from the calculation:
- Relative energy among the computed polymorphs: 0.0 meV per atom
- ρ: 4.090 g/cm³
- Symmetry: P4/mmm (123)

a b c (Å): 3.897 3.897 3.849
angles (deg): 90.00 90.00 90.00
Each line ends with the local moment (μB).
Sites, in units of the cell vectors:
O1 0.000 0.000 0.500  -0.07
N1 0.000 0.000 0.000  -0.08
P1 0.000 0.500 0.000  -0.14
Cr1 0.500 0.500 0.500  1.78
P2 0.500 0.000 0.000  -0.14

=====

10.
The following is a PBE with a Hubbard U calculation of crystalline CrP2NO at its relaxed geometry, from Alexandria via LeMat-Bulk.

Values from the calculation:
- Relative energy among the computed polymorphs: 32.2 meV per atom
- ρ: 3.217 g/cm³
- Symmetry: P4/mmm (123)

a b c (Å): 4.606 4.606 3.503
angles (deg): 90.00 90.00 90.00
Each line ends with the local moment (μB).
Sites, in units of the cell vectors:
P1 0.000 0.500 0.000  -0.36
N1 0.500 0.500 0.500  0.73
O1 0.000 0.000 0.500  -0.30
Cr1 0.000 0.000 0.000  2.03
P2 0.500 0.000 0.000  -0.36

=====

11.
The following is a PBE with a Hubbard U calculation of crystalline CrPNO2 at its relaxed geometry, from Alexandria via LeMat-Bulk.

Values from the calculation:
- Total DFT energy (no corrections): -5.389 eV per atom
- ρ: 3.949 g/cm³
- Symmetry: P4/mmm (123)

a b c (Å): 3.904 3.904 3.559
angles (deg): 90.00 90.00 90.00
Each line ends with the local moment (μB).
Sites, in units of the cell vectors:
O1 0.000 0.500 0.000  -0.02
P1 0.000 0.000 0.500  -0.09
N1 0.000 0.000 0.000  0.06
O2 0.500 0.000 0.000  -0.02
Cr1 0.500 0.500 0.500  3.95

=====

12.
The following is a PBE with a Hubbard U calculation of crystalline CrPbN2O at its relaxed geometry, from Alexandria via LeMat-Bulk.

Values from the calculation:
- Total DFT energy (no corrections): -6.192 eV per atom
- ρ: 8.556 g/cm³
- Symmetry: P4/mmm (123)

a b c (Å): 3.774 3.774 4.133
angles (deg): 90.00 90.00 90.00
Sites, in units of the cell vectors:
Pb1 0.500 0.500 0.500
N1 0.500 0.000 0.000
Cr1 0.000 0.000 0.000
N2 0.000 0.500 0.000
O1 0.000 0.000 0.500

=====

13.
The following is a PBE with a Hubbard U calculation of crystalline CrPbN2O at its relaxed geometry, from Alexandria via LeMat-Bulk.

Values from the calculation:
- Total DFT energy (no corrections): -5.274 eV per atom
- ρ: 6.246 g/cm³
- Symmetry: P4/mmm (123)

a b c (Å): 4.362 4.362 4.237
angles (deg): 90.00 90.00 90.00
Each line ends with the local moment (μB).
Sites, in units of the cell vectors:
N1 0.500 0.000 0.000  -0.82
Pb1 0.000 0.000 0.000  0.02
O1 0.000 0.000 0.500  -0.23
Cr1 0.500 0.500 0.500  4.23
N2 0.000 0.500 0.000  -0.82

=====

14.
The following is a PBE with a Hubbard U calculation of crystalline CrPdN2O at its relaxed geometry, from Alexandria via LeMat-Bulk.

Values from the calculation:
- Total DFT energy (no corrections): -5.168 eV per atom
- ρ: 5.599 g/cm³
- Symmetry: P4/mmm (123)

a b c (Å): 3.894 3.894 3.960
angles (deg): 90.00 90.00 90.00
Each line ends with the local moment (μB).
Sites, in units of the cell vectors:
O1 0.000 0.000 0.500  -0.09
N1 0.500 0.000 0.000  -0.32
Cr1 0.500 0.500 0.500  -0.78
Pd1 0.000 0.000 0.000  -0.14
N2 0.000 0.500 0.000  -0.32